Er5Sc3H12 PBE optimized geometry; final energy = -0.334 Ry/atom; volume = 12.56 Å³ per atom; ρ = 6.50 g/cm³; density of states at the Fermi level = 0.46 states/eV/atom
1.0
-3.546 8.624 -5.697
-4.473 -9.118 -4.032
-2.863 1.134 10.485
H Sc Er
48 12 20
direct
0.664 0.597 0.942
0.403 0.067 0.345
0.442 0.277 0.345
0.836 0.277 0.433
0.164 0.723 0.567
0.097 0.155 0.433
0.845 0.903 0.067
0.723 0.164 0.067
0.567 0.345 0.903
0.345 0.567 0.403
0.336 0.403 0.058
0.097 0.942 0.164
0.058 0.155 0.223
0.723 0.558 0.155
0.836 0.558 0.903
0.067 0.664 0.723
0.442 0.164 0.597
0.942 0.097 0.664
0.345 0.777 0.442
0.336 0.933 0.777
0.277 0.836 0.933
0.655 0.223 0.558
0.655 0.433 0.597
0.433 0.777 0.836
0.223 0.567 0.664
0.933 0.597 0.155
0.777 0.345 0.942
0.155 0.097 0.933
0.664 0.067 0.223
0.558 0.836 0.403
0.933 0.336 0.277
0.433 0.655 0.097
0.164 0.442 0.097
0.223 0.655 0.058
0.942 0.845 0.777
0.597 0.664 0.442
0.558 0.723 0.655
0.903 0.058 0.836
0.155 0.058 0.723
0.903 0.845 0.567
0.567 0.223 0.164
0.777 0.433 0.336
0.058 0.903 0.336
0.067 0.403 0.845
0.277 0.442 0.845
0.403 0.336 0.558
0.597 0.933 0.655
0.845 0.942 0.277
0.750 0.875 0.625
0.375 0.625 0.250
0.250 0.625 0.875
0.625 0.375 0.750
0.750 0.375 0.125
0.875 0.750 0.125
0.625 0.250 0.375
0.125 0.250 0.875
0.375 0.750 0.625
0.250 0.125 0.375
0.125 0.875 0.750
0.875 0.125 0.250
0.375 0.250 0.125
0.375 0.125 0.750
0.250 0.375 0.625
0.500 0.500 0.000
0.500 0.000 0.500
0.750 0.125 0.875
0.125 0.375 0.250
0.250 0.875 0.125
0.125 0.750 0.375
0.625 0.750 0.875
0.000 0.000 0.500
0.875 0.625 0.750
0.500 0.000 0.000
0.750 0.625 0.375
0.500 0.500 0.500
0.000 0.000 0.000
0.000 0.500 0.000
0.625 0.875 0.250
0.875 0.250 0.625
0.000 0.500 0.500